# Li2MgNiH

Li2MgNiH after structural relaxation (GGA-PBE, Alexandria via LeMat-Bulk).

Cell and atoms, written as POSCAR:
```
Li2MgNiH
1.0
3.999 0.000 0.000
0.000 3.999 0.000
0.000 0.000 3.710
Ni Mg H Li
1 1 1 2
Direct
0.000 0.000 0.500 Ni
0.500 0.500 0.500 Mg
0.000 0.000 0.000 H
0.000 0.500 0.000 Li
0.500 0.000 0.000 Li
```

Values from the calculation:
Its density of states at the Fermi level is 0.35 states/eV per atom. As for the total energy: -14.979 eV for the cell shown.

---

# Er2TmPd2

Er2TmPd2 after structural relaxation (GGA-PBE, Alexandria via LeMat-Bulk).

Cell and atoms, written as POSCAR:
```
Er2TmPd2
1.0
3.816 0.000 0.000
-1.908 6.759 0.000
0.000 0.000 9.639
Er Tm Pd
4 2 4
Direct
0.895 0.790 0.145 Er
0.318 0.636 0.851 Er
0.105 0.210 0.645 Er
0.682 0.364 0.351 Er
0.604 0.208 0.985 Tm
0.396 0.792 0.485 Tm
0.238 0.475 0.137 Pd
0.972 0.943 0.867 Pd
0.762 0.525 0.637 Pd
0.028 0.057 0.367 Pd
```

Values from the calculation:
For the distance to the lowest polymorph of the same formula, the calculation gives 79 meV per atom. Its density of states at the Fermi level is 0.78 states/eV per atom. As for the total energy: -54.855 eV for the cell shown.

---

# HgMoW2

HgMoW2 after structural relaxation (GGA-PBE, Alexandria via LeMat-Bulk).

Cell and atoms, written as POSCAR:
```
HgMoW2
1.0
-2.577 -1.071 -0.010
1.468 -1.157 2.072
-2.841 6.782 5.800
Hg Mo W
1 1 2
Direct
0.500 0.500 0.250 Hg
0.500 0.500 0.750 Mo
0.000 0.000 0.983 W
0.000 0.000 0.517 W
```

Values from the calculation:
Its density of states at the Fermi level is 0.67 states/eV per atom. As for the total energy: -35.320 eV for the cell shown.

---

# CuTeN

CuTeN after structural relaxation (GGA-PBE, Alexandria via LeMat-Bulk).

Cell and atoms, written as POSCAR:
```
CuTeN
1.0
6.547 0.000 0.026
0.000 3.312 0.000
-5.326 0.000 9.473
Cu Te N
4 4 4
Direct
0.242 0.000 0.636 Cu
0.242 0.500 0.136 Cu
0.719 0.000 0.243 Cu
0.719 0.500 0.743 Cu
0.264 0.000 0.900 Te
0.264 0.500 0.400 Te
0.854 0.000 0.026 Te
0.854 0.500 0.526 Te
0.896 0.000 0.843 N
0.896 0.500 0.343 N
0.391 0.000 0.113 N
0.391 0.500 0.613 N
```

Values from the calculation:
For the distance to the lowest polymorph of the same formula, the calculation gives 89 meV per atom. Its density of states at the Fermi level is 0.43 states/eV per atom. As for the total energy: -55.303 eV for the cell shown.

---

# PmInRu4

PmInRu4 after structural relaxation (GGA-PBE, Alexandria via LeMat-Bulk).

Cell and atoms, written as POSCAR:
```
PmInRu4
1.0
5.315 0.000 0.000
2.657 4.603 0.000
2.657 1.534 4.339
Ru In Pm
4 1 1
Direct
0.626 0.626 0.123 Ru
0.626 0.123 0.626 Ru
0.626 0.626 0.626 Ru
0.123 0.626 0.626 Ru
0.000 0.000 0.000 In
0.250 0.250 0.250 Pm
```

Values from the calculation:
Its density of states at the Fermi level is 1.56 states/eV per atom. As for the total energy: -44.531 eV for the cell shown.

---

# CaTe2As

CaTe2As after structural relaxation (GGA-PBE, Alexandria via LeMat-Bulk).

Cell and atoms, written as POSCAR:
```
CaTe2As
1.0
4.253 0.000 0.000
0.000 5.431 -0.078
0.000 1.588 5.259
As Te Ca
1 2 1
Direct
0.500 0.250 0.250 As
0.000 0.020 0.020 Te
0.000 0.480 0.480 Te
0.500 0.750 0.750 Ca
```

Values from the calculation:
Its density of states at the Fermi level is 0.15 states/eV per atom. As for the total energy: -15.049 eV for the cell shown.

---

# CaTePt3

CaTePt3 after structural relaxation (GGA-PBE, Alexandria via LeMat-Bulk).

Cell and atoms, written as POSCAR:
```
CaTePt3
1.0
5.001 0.000 0.000
0.000 5.001 0.000
0.000 0.000 5.001
Ca Te Pt
1 1 3
Direct
0.500 0.500 0.500 Ca
0.000 0.000 0.000 Te
0.000 0.500 0.000 Pt
0.000 0.000 0.500 Pt
0.500 0.000 0.000 Pt
```

Values from the calculation:
For the distance to the lowest polymorph of the same formula, the calculation gives 0 meV per atom. Its density of states at the Fermi level is 0.08 states/eV per atom. As for the total energy: -23.639 eV for the cell shown.